(1)
# PBE-GGA BeInAs2, optimized geometry
data_BeInAs2
_chemical_formula_sum 'Be3 In3 As6'
_space_group_name_H-M_alt 'R -3 m'
_space_group_IT_number 166
_space_group_name_Hall '-R 3 2"'
_cell_length_a 3.0786
_cell_length_b 3.0786
_cell_length_c 27.9947
_cell_angle_alpha 90.00
_cell_angle_beta 90.00
_cell_angle_gamma 120.00
loop_
_atom_site_label
_atom_site_type_symbol
_atom_site_fract_x
_atom_site_fract_y
_atom_site_fract_z
Be1 Be 0.0000 0.0000 0.0000
In1 In 0.0000 0.0000 0.5000
As1 As 0.0000 0.0000 0.2713
# * total DFT energy (no corrections): -3.69 eV/atom
# * crystal system: trigonal

=====

(2)
# PBE-GGA Hf2ZnN3, optimized geometry
data_Hf2ZnN3
_chemical_formula_sum 'Hf8 Zn4 N12'
_space_group_name_H-M_alt 'C 1 2/m 1'
_space_group_IT_number 12
_space_group_name_Hall '-C 2y'
_cell_length_a 11.590
_cell_length_b 3.676
_cell_length_c 8.424
_cell_angle_alpha 90.00
_cell_angle_beta 99.76
_cell_angle_gamma 90.00
loop_
_atom_site_label
_atom_site_type_symbol
_atom_site_fract_x
_atom_site_fract_y
_atom_site_fract_z
Hf1 Hf 0.000 0.000 0.213
Hf2 Hf 0.142 0.500 0.514
Zn1 Zn 0.160 0.500 0.004
N1 N 0.017 0.500 0.668
N2 N 0.169 0.000 0.409
N3 N 0.169 0.000 0.888
# * crystal system: monoclinic
# * E_form (uncorrected): -5.79 eV/f.u.

=====

(3)
# PBE-GGA PrTaBi2O8, optimized geometry
data_PrTaBi2O8
_chemical_formula_sum 'Pr2 Ta2 Bi4 O16'
_space_group_name_H-M_alt 'C m m m'
_space_group_IT_number 65
_space_group_name_Hall '-C 2 2'
_cell_length_a 7.177
_cell_length_b 7.299
_cell_length_c 7.008
_cell_angle_alpha 90.00
_cell_angle_beta 90.00
_cell_angle_gamma 90.00
loop_
_atom_site_label
_atom_site_type_symbol
_atom_site_fract_x
_atom_site_fract_y
_atom_site_fract_z
Pr1 Pr 0.000 0.000 0.000
Ta1 Ta 0.000 0.000 0.500
Bi1 Bi 0.000 0.500 0.259
O1 O 0.000 0.283 0.500
O2 O 0.000 0.322 0.000
O3 O 0.185 0.000 0.287
# * crystal system: orthorhombic
# * E_form (uncorrected): -24.08 eV/f.u.

=====

(4)
# PBE-GGA TmAsS, optimized geometry
data_TmAsS
_chemical_formula_sum 'Tm2 As2 S2'
_space_group_name_H-M_alt 'P 4/n m m'
_space_group_IT_number 129
_cell_length_a 3.789
_cell_length_b 3.789
_cell_length_c 8.419
_cell_angle_alpha 90.00
_cell_angle_beta 90.00
_cell_angle_gamma 90.00
loop_
_space_group_symop_operation_xyz
'x,y,z'
'-x,-y,-z'
'-y+1/2,x,z'
'y+1/2,-x,-z'
'-x+1/2,-y+1/2,z'
'x+1/2,y+1/2,-z'
'y,-x+1/2,z'
'-y,x+1/2,-z'
'x+1/2,-y,-z'
'-x+1/2,y,z'
'-y,-x,-z'
'y,x,z'
'-x,y+1/2,-z'
'x,-y+1/2,z'
'y+1/2,x+1/2,-z'
'-y+1/2,-x+1/2,z'
loop_
_atom_site_label
_atom_site_type_symbol
_atom_site_fract_x
_atom_site_fract_y
_atom_site_fract_z
Tm1 Tm 0.250 0.250 0.208
As1 As 0.250 0.750 0.500
S1 S 0.250 0.250 0.875
# * crystal system: tetragonal
# * E_form (uncorrected): -4.57 eV/f.u.

=====

(5)
# PBE-GGA Tb2Sm2ErTm, optimized geometry
data_Tb2Sm2ErTm
_chemical_formula_sum 'Tb4 Sm4 Er2 Tm2'
_space_group_name_H-M_alt 'P m m a'
_space_group_IT_number 51
_space_group_name_Hall '-P 2a 2a'
_cell_length_a 6.977
_cell_length_b 5.618
_cell_length_c 9.727
_cell_angle_alpha 90.00
_cell_angle_beta 90.00
_cell_angle_gamma 90.00
loop_
_atom_site_label
_atom_site_type_symbol
_atom_site_fract_x
_atom_site_fract_y
_atom_site_fract_z
Tb1 Tb 0.250 0.000 0.162
Tb2 Tb 0.250 0.500 0.670
Sm1 Sm 0.000 0.500 0.000
Sm2 Sm 0.250 0.000 0.822
Er1 Er 0.250 0.500 0.342
Tm1 Tm 0.000 0.000 0.500
# * total DFT energy (no corrections): -4.56 eV/atom
# * crystal system: orthorhombic

=====

(6)
# PBE-GGA RbCoOs, optimized geometry
data_RbCoOs
_chemical_formula_sum 'Rb2 Co2 Os2'
_space_group_name_H-M_alt 'P -1'
_space_group_IT_number 2
_space_group_name_Hall '-P 1'
_cell_length_a 3.945
_cell_length_b 4.897
_cell_length_c 9.897
_cell_angle_alpha 95.44
_cell_angle_beta 90.05
_cell_angle_gamma 90.00
loop_
_atom_site_label
_atom_site_type_symbol
_atom_site_fract_x
_atom_site_fract_y
_atom_site_fract_z
Rb1 Rb 0.249 0.290 0.206
Co1 Co 0.250 0.624 0.525
Os1 Os 0.250 0.132 0.548
# * crystal system: triclinic
# * ΔE to the lowest computed polymorph: 0.000 eV per atom